The following is a DFT calculation (PBE) of TeIrSCl2 after structural relaxation.

For the energy relative to the lowest polymorph listed for this composition, the calculation gives 0 meV per atom. The value obtained for the energy relative to the elements, uncorrected is 321 meV/atom. The crystal system is tetragonal. The calculation puts the size of the total moment at 0.00 μB per cell. The total energy comes out at -3.64 eV per atom.

a b c (Å): 4.804 4.804 4.684
angles (deg): 90.00 90.00 90.00
Element x y z (fractional)
Te (0.500, 0.500, 0.500)
Ir (0.000, 0.000, 0.000)
Cl (0.500, 0.000, 0.000)
Cl (0.000, 0.500, 0.000)
S (0.000, 0.000, 0.500)

---

The following is a DFT calculation (PBE) of TeIrS2Cl after structural relaxation.

For the energy relative to the lowest polymorph listed for this composition, the calculation gives 1030 meV per atom. The value obtained for the energy relative to the elements, uncorrected is 1379 meV/atom. The crystal system is tetragonal. The calculation puts the size of the total moment at 2.70 μB per cell. The total energy comes out at -3.04 eV per atom.

a b c (Å): 5.072 5.072 4.922
angles (deg): 90.00 90.00 90.00
Element x y z (fractional)
Te (0.000, 0.000, 0.000)
S (0.000, 0.500, 0.000)
S (0.500, 0.000, 0.000)
Cl (0.000, 0.000, 0.500)
Ir (0.500, 0.500, 0.500)

---

The following is a DFT calculation (PBE) of TeIrS2Cl after structural relaxation.

For the energy relative to the lowest polymorph listed for this composition, the calculation gives 0 meV per atom. The value obtained for the energy relative to the elements, uncorrected is 349 meV/atom. The crystal system is tetragonal. The calculation puts the size of the total moment at 0.00 μB per cell. The total energy comes out at -4.07 eV per atom.

a b c (Å): 4.708 4.708 4.704
angles (deg): 90.00 90.00 90.00
Element x y z (fractional)
S (0.000, 0.500, 0.000)
S (0.500, 0.000, 0.000)
Cl (0.000, 0.000, 0.500)
Ir (0.000, 0.000, 0.000)
Te (0.500, 0.500, 0.500)

---

Which value of energy relative to the elements, uncorrected does entry 2 give? 1379 meV/atom